# 1
TePd3 | PBE | relaxed

Unit cell a=4.5986 b=4.5986 c=4.5986 alpha=60.00 beta=60.00 gamma=60.00
Element x y z (fractional)
Pd1 0.7500 0.7500 0.7500
Pd2 0.2500 0.2500 0.2500
Pd3 0.0000 0.0000 0.0000
Te1 0.5000 0.5000 0.5000

Summary:
Symmetry: Fm-3m (225)
Crystal system: cubic
Excess energy over the best structure of this formula in the dataset in eV per atom: 0.007

---

# 2
Cd2InPb | PBE | relaxed

Unit cell a=3.2595 b=4.6421 c=6.9477 alpha=90.00 beta=90.00 gamma=90.00
Element x y z (fractional)
Cd1 0.0000 0.0000 0.0150
Cd2 0.0000 0.0000 0.4850
Pb1 0.5000 0.5000 0.7500
In1 0.5000 0.5000 0.2500

Summary:
Symmetry: Pmmm (47)
Crystal system: orthorhombic
Excess energy over the best structure of this formula in the dataset in eV per atom: 0.018
Formation energy in meV/atom: 42

---

# 3
Na3Sn4Hg2 | PBE | relaxed

Unit cell a=6.7743 b=9.0669 c=9.0669 alpha=59.33 beta=89.30 gamma=89.30
Element x y z (fractional)
Hg1 0.5005 0.1648 0.5028
Hg2 0.0005 0.5028 0.1648
Hg3 0.4995 0.8352 0.4972
Hg4 0.9995 0.4972 0.8352
Sn1 0.9715 0.1650 0.8349
Sn2 0.4928 0.5026 0.1649
Sn3 0.0285 0.8350 0.1651
Sn4 0.5285 0.1651 0.8350
Sn5 0.0072 0.8351 0.4974
Sn6 0.5072 0.4974 0.8351
Sn7 0.9928 0.1649 0.5026
Sn8 0.4715 0.8349 0.1650
Na1 0.7500 0.5185 0.4815
Na2 0.2539 0.8367 0.8210
Na3 0.2500 0.4815 0.5185
Na4 0.2461 0.1790 0.1633
Na5 0.7461 0.1633 0.1790
Na6 0.7539 0.8210 0.8367

Summary:
Symmetry: C2/c (15)
Crystal system: monoclinic
Excess energy over the best structure of this formula in the dataset in eV per atom: 0.000
Formation energy in meV/atom: -146

---

# 4
Ce2Zn5Pd | PBE | relaxed

Unit cell a=4.2809 b=8.4256 c=9.0116 alpha=90.00 beta=90.00 gamma=104.72
Element x y z (fractional)
Zn1 0.3477 0.6954 0.5200
Zn2 0.6523 0.3046 0.0200
Zn3 0.6018 0.2036 0.7500
Zn4 0.3477 0.6954 0.9800
Zn5 0.3982 0.7964 0.2500
Zn6 0.6523 0.3046 0.4800
Zn7 0.8108 0.6216 0.3905
Zn8 0.8108 0.6216 0.1095
Zn9 0.1892 0.3784 0.8905
Zn10 0.1892 0.3784 0.6095
Ce1 0.0000 0.0000 0.5000
Ce2 0.1948 0.3897 0.2500
Ce3 0.8052 0.6103 0.7500
Ce4 0.0000 0.0000 0.0000
Pd1 0.4446 0.8892 0.7500
Pd2 0.5554 0.1108 0.2500

Summary:
Symmetry: Cmcm (63)
Crystal system: orthorhombic
Formation energy in meV/atom: -373

---

# 5
Tl2GaSnHg2 | PBE | relaxed

Unit cell a=6.3011 b=6.3315 c=9.4395 alpha=109.60 beta=109.50 gamma=90.00
Element x y z (fractional)
Tl1 0.9664 0.6777 0.3555
Tl2 0.3891 0.1777 0.3555
Tl3 0.0336 0.3223 0.6445
Tl4 0.6109 0.8223 0.6445
Sn1 0.0000 0.7500 0.0000
Sn2 0.0000 0.2500 0.0000
Hg1 0.8351 0.1306 0.2611
Hg2 0.4260 0.6306 0.2611
Hg3 0.5740 0.3694 0.7389
Hg4 0.1649 0.8694 0.7389
Ga1 0.5000 0.7500 0.0000
Ga2 0.5000 0.2500 0.0000

Summary:
Symmetry: Ibam (72)
Crystal system: orthorhombic
Formation energy in meV/atom: 35

---

# 6
Ti3MoW | PBE | relaxed

Unit cell a=8.1357 b=8.1357 c=4.5743 alpha=90.00 beta=90.00 gamma=147.34
Element x y z (fractional)
Ti1 0.0564 0.9436 0.1552
Ti2 0.5603 0.4397 0.6555
Ti3 0.9436 0.0564 0.6552
Ti4 0.2493 0.7507 0.1550
Ti5 0.7507 0.2493 0.6550
Ti6 0.4397 0.5603 0.1555
Mo1 0.3498 0.6502 0.6552
Mo2 0.6502 0.3498 0.1552
W1 0.8560 0.1440 0.1551
W2 0.1440 0.8560 0.6551

Summary:
Symmetry: Cmcm (63)
Crystal system: orthorhombic
Excess energy over the best structure of this formula in the dataset in eV per atom: 0.000
Formation energy in meV/atom: 6

---

Repeat the second record exactly.
Cd2InPb | PBE | relaxed

Unit cell a=3.2595 b=4.6421 c=6.9477 alpha=90.00 beta=90.00 gamma=90.00
Element x y z (fractional)
Cd1 0.0000 0.0000 0.0150
Cd2 0.0000 0.0000 0.4850
Pb1 0.5000 0.5000 0.7500
In1 0.5000 0.5000 0.2500

Summary:
Symmetry: Pmmm (47)
Crystal system: orthorhombic
Excess energy over the best structure of this formula in the dataset in eV per atom: 0.018
Formation energy in meV/atom: 42